1.
Computed, not measured: a relaxed structure of KW5 at the GGA-PBE level of DFT.

Output
D(E_F): 4.706 states/eV/cell
Energy of formation from the pure elements: 1.015 eV per atom
Relative energy among the computed polymorphs: 0.000 eV/atom
Space-group type: P6/mmm, No. 191

POSCAR file:
```
KW5
1.0
5.616 0.000 0.000
-2.808 4.864 0.000
0.000 0.000 4.394
K W
1 5
direct
0.000 0.000 0.000 K
0.000 0.500 0.500 W
0.333 0.667 0.000 W
0.500 0.000 0.500 W
0.500 0.500 0.500 W
0.667 0.333 0.000 W
```



2.
Computed, not measured: a relaxed structure of NaLiHfI6 at the GGA-PBE level of DFT.

Output
D(E_F): 0.000 states/eV/cell
Formation energy without anion corrections: -9.2 eV per formula unit
Space-group type: P-31c, No. 163

POSCAR file:
```
NaLiHfI6
1.0
7.516 0.000 0.000
-3.758 6.509 0.000
0.000 0.000 14.134
Na Li Hf I
2 2 2 12
direct
0.000 0.000 0.000 Na
0.000 0.000 0.500 Na
0.333 0.667 0.250 Li
0.667 0.333 0.750 Li
0.333 0.667 0.750 Hf
0.667 0.333 0.250 Hf
0.013 0.365 0.633 I
0.013 0.648 0.867 I
0.352 0.365 0.867 I
0.352 0.987 0.633 I
0.365 0.013 0.133 I
0.365 0.352 0.367 I
0.635 0.648 0.633 I
0.635 0.987 0.867 I
0.648 0.013 0.367 I
0.648 0.635 0.133 I
0.987 0.352 0.133 I
0.987 0.635 0.367 I
```



3.
Computed, not measured: a relaxed structure of Pr2AlOs at the GGA-PBE level of DFT.

Output
D(E_F): 4.559 states/eV/cell
Energy of formation from the pure elements: -0.198 eV per atom
Space-group type: Cm, No. 8

POSCAR file:
```
Pr2AlOs
1.0
3.817 -2.190 0.000
3.817 2.190 0.000
-2.515 0.000 6.590
Pr Al Os
2 1 1
direct
0.000 0.000 0.000 Pr
0.181 0.181 0.550 Pr
0.423 0.423 0.274 Al
0.755 0.755 0.274 Os
```



4.
Computed, not measured: a relaxed structure of CuC2S at the GGA-PBE level of DFT.

Output
D(E_F): 6.805 states/eV/cell
Formation energy without anion corrections: 5.1 eV per formula unit
Space-group type: I-42d, No. 122

POSCAR file:
```
CuC2S
1.0
-2.275 2.275 3.907
2.275 -2.275 3.907
2.275 2.275 -3.907
Cu C S
2 4 2
direct
0.000 0.000 0.000 Cu
0.750 0.250 0.500 Cu
0.176 0.625 0.051 C
0.375 0.426 0.551 C
0.574 0.125 0.949 C
0.875 0.824 0.449 C
0.250 0.750 0.500 S
0.500 0.500 0.000 S
```



5.
Computed, not measured: a relaxed structure of KNaCaTc2 at the GGA-PBE level of DFT.

Output
D(E_F): 7.084 states/eV/cell
Energy of formation from the pure elements: 1.791 eV per atom
Space-group type: P4/mmm, No. 123

POSCAR file:
```
KNaCaTc2
1.0
5.220 0.000 0.000
0.000 5.220 0.000
0.000 0.000 5.188
K Na Ca Tc
1 1 1 2
direct
0.000 0.000 0.000 K
0.000 0.000 0.500 Na
0.500 0.500 0.000 Ca
0.000 0.500 0.500 Tc
0.500 0.000 0.500 Tc
```



6.
Computed, not measured: a relaxed structure of BaCoMoP2 at the GGA-PBE level of DFT.

Output
D(E_F): 5.093 states/eV/cell
Energy of formation from the pure elements: -0.727 eV per atom
Space-group type: I-4m2, No. 119

POSCAR file:
```
BaCoMoP2
1.0
-1.992 1.992 6.319
1.992 -1.992 6.319
1.992 1.992 -6.319
Ba Co Mo P
1 1 1 2
direct
0.000 0.000 0.000 Ba
0.750 0.250 0.500 Co
0.250 0.750 0.500 Mo
0.347 0.347 0.000 P
0.653 0.653 0.000 P
```



| no. | total magnetization (Bohr magnetons per cell) |
| --- | --- |
| 1 | 0.0 |
| 2 | 0.0 |
| 3 | 0.0 |
| 4 | 0.0 |
| 5 | 5.5 |
| 6 | 0.0 |